Computed, not measured: crystalline TlInMo2O8 at its relaxed geometry at the PBE with a Hubbard U level of DFT.

Cell lengths 5.509, 5.509, 8.876 Å; angles 71.92, 71.92, 60.00 degrees
Fractional positions:
1 O 0.011 0.388 0.846
2 O 0.755 0.011 0.846
3 O 0.612 0.245 0.154
4 O 0.811 0.811 0.567
5 O 0.989 0.612 0.154
6 O 0.388 0.755 0.846
7 O 0.245 0.989 0.154
8 O 0.189 0.189 0.433
9 Mo 0.260 0.260 0.220
10 Mo 0.740 0.740 0.780
11 In 0.000 0.000 0.000
12 Tl 0.500 0.500 0.500

## Properties
Magnetization, μB/f.u.: 0.00
E, eV/atom: -6.420